PmYSiPd | PBE | optimized geometry

## Properties
**Energy above the lowest structure with this stoichiometry**: 122 meV per atom
**Crystal system**: cubic
**DOS at the Fermi energy**: 2.46 states/eV/cell
**Formation energy (no corrections)**: -0.69 eV per atom
**Space group**: F-43m (216)
**Total magnetization**: 0.0 μB/f.u.

Lattice parameters (Å, degrees): 5.054 5.054 5.054 60.00 60.00 60.00
Positions (direct):
1 Pm 0.000 0.000 0.000
2 Y 0.500 0.500 0.500
3 Si 0.750 0.750 0.750
4 Pd 0.250 0.250 0.250